A plane-wave DFT calculation with PBE was carried out for a relaxed structure of CdCu2Rh.

## Properties
Total DFT energy (no corrections) (eV/cell): -16.3
Energy of formation (kJ/mol of atoms): 4
Magnetic moment (μB per cell): 0.0

Unit cell a=2.8563 b=3.6318 c=5.6583 alpha=90.00 beta=90.51 gamma=90.00
Fractional coordinates of all 4 atoms:
Cd (0.0000, 0.0000, 0.0000)
Cu (0.4994, 0.5000, 0.2738)
Cu (0.5006, 0.5000, 0.7262)
Rh (0.0000, 0.0000, 0.5000)